First-principles (PBE) data for NaBi2RhBr after structural relaxation, as listed in Alexandria.

CIF file:
```
data_NaBi2RhBr
_chemical_formula_sum 'Na1 Bi2 Rh1 Br1'
_cell_length_a 5.1325
_cell_length_b 5.1325
_cell_length_c 6.1169
_cell_angle_alpha 90.00
_cell_angle_beta 90.00
_cell_angle_gamma 90.00
_symmetry_space_group_name_H-M 'P 4/m m m'
_symmetry_Int_Tables_number 123
_symmetry_space_group_name_Hall '-P 4 2'
loop_
_atom_site_label
_atom_site_fract_x
_atom_site_fract_y
_atom_site_fract_z
Na1 0.0000 0.0000 0.0000
Bi1 0.0000 0.5000 0.5000
Rh1 0.0000 0.0000 0.5000
Br1 0.5000 0.5000 0.0000
```

First-principles (PBE) data for AcAl5Ag7 after structural relaxation, as listed in Alexandria.

CIF file:
```
data_AcAl5Ag7
_chemical_formula_sum 'Ac2 Al10 Ag14'
_cell_length_a 5.4576
_cell_length_b 9.5257
_cell_length_c 9.4262
_cell_angle_alpha 90.00
_cell_angle_beta 90.00
_cell_angle_gamma 90.00
_symmetry_space_group_name_H-M 'I m m 2'
_symmetry_Int_Tables_number 44
_symmetry_space_group_name_Hall 'I 2 -2'
loop_
_atom_site_label
_atom_site_fract_x
_atom_site_fract_y
_atom_site_fract_z
Ac1 0.0000 0.0000 0.0000
Al1 0.0000 0.5000 0.7324
Al2 0.2479 0.2533 0.2514
Ag1 0.0000 0.0000 0.3408
Ag2 0.0000 0.0000 0.6506
Ag3 0.0000 0.2862 0.5056
Ag4 0.0000 0.3481 0.9949
Ag5 0.0000 0.5000 0.2757
```

## Properties
Energy relative to the elements = -18.5 kJ/mol of atoms

First-principles (PBE) data for Pr2Dy6Y3In after structural relaxation, as listed in Alexandria.

CIF file:
```
data_Pr2Dy6Y3In
_chemical_formula_sum 'Pr4 Dy12 Y6 In2'
_cell_length_a 6.1237
_cell_length_b 10.6136
_cell_length_c 11.7778
_cell_angle_alpha 90.00
_cell_angle_beta 100.01
_cell_angle_gamma 90.00
_symmetry_space_group_name_H-M 'C 1 2/m 1'
_symmetry_Int_Tables_number 12
_symmetry_space_group_name_Hall '-C 2y'
loop_
_atom_site_label
_atom_site_fract_x
_atom_site_fract_y
_atom_site_fract_z
Pr1 0.0000 0.1663 0.0000
Dy1 0.2436 0.5000 0.7496
Dy2 0.2463 0.3366 0.2496
Y1 0.0000 0.0000 0.5000
Y2 0.0000 0.3334 0.5000
In1 0.0000 0.5000 0.0000
```

## Properties
Energy relative to the elements = -5.2 kJ/mol of atoms

First-principles (PBE) data for Cd4In9Hg11 after structural relaxation, as listed in Alexandria.

CIF file:
```
data_Cd4In9Hg11
_chemical_formula_sum 'Cd4 In9 Hg11'
_cell_length_a 3.4419
_cell_length_b 13.0303
_cell_length_c 14.5925
_cell_angle_alpha 75.02
_cell_angle_beta 86.49
_cell_angle_gamma 89.48
_symmetry_space_group_name_H-M 'P -1'
_symmetry_Int_Tables_number 2
_symmetry_space_group_name_Hall '-P 1'
loop_
_atom_site_label
_atom_site_fract_x
_atom_site_fract_y
_atom_site_fract_z
Cd1 0.0145 0.2352 0.4423
Cd2 0.0235 0.0051 0.2289
In1 0.0076 0.2827 0.0880
In2 0.0224 0.6419 0.3557
In3 0.4602 0.4119 0.2236
In4 0.4685 0.1719 0.8380
In5 0.5000 0.0000 0.5000
Hg1 0.0024 0.3725 0.8583
Hg2 0.4273 0.9070 0.9539
Hg3 0.4774 0.8343 0.7064
Hg4 0.4779 0.5676 0.5743
Hg5 0.4902 0.1584 0.6245
Hg6 0.5000 0.5000 0.0000
```

## Properties
Energy relative to the elements = 2.0 kJ/mol of atoms

First-principles (PBE) data for V3Ni2Ir3 after structural relaxation, as listed in Alexandria.

CIF file:
```
data_V3Ni2Ir3
_chemical_formula_sum 'V6 Ni4 Ir6'
_cell_length_a 3.6617
_cell_length_b 3.7660
_cell_length_c 15.2698
_cell_angle_alpha 90.00
_cell_angle_beta 90.00
_cell_angle_gamma 90.00
_symmetry_space_group_name_H-M 'I m m m'
_symmetry_Int_Tables_number 71
_symmetry_space_group_name_Hall '-I 2 2'
loop_
_atom_site_label
_atom_site_fract_x
_atom_site_fract_y
_atom_site_fract_z
V1 0.0000 0.0000 0.0000
V2 0.0000 0.5000 0.1291
Ni1 0.0000 0.0000 0.2506
Ir1 0.0000 0.0000 0.5000
Ir2 0.0000 0.5000 0.3700
```

## Properties
Energy relative to the elements = -35.6 kJ/mol of atoms

First-principles (PBE) data for CdTcAs after structural relaxation, as listed in Alexandria.

CIF file:
```
data_CdTcAs
_chemical_formula_sum 'Cd4 Tc4 As4'
_cell_length_a 6.1652
_cell_length_b 6.1652
_cell_length_c 6.1652
_cell_angle_alpha 90.00
_cell_angle_beta 90.00
_cell_angle_gamma 90.00
_symmetry_space_group_name_H-M 'F -4 3 m'
_symmetry_Int_Tables_number 216
_symmetry_space_group_name_Hall 'F -4 2 3'
loop_
_atom_site_label
_atom_site_fract_x
_atom_site_fract_y
_atom_site_fract_z
Cd1 0.0000 0.0000 0.0000
Tc1 0.2500 0.2500 0.7500
As1 0.0000 0.0000 0.5000
```

## Properties
Energy above the lowest structure with this stoichiometry = 45.2 kJ/mol of atoms
Energy relative to the elements = 41.8 kJ/mol of atoms

| no. | calculated volume (A^3/atom) | density of states at the Fermi level (states/eV per cell) | calculated total energy (eV per cell) |
| --- | --- | --- | --- |
| 1 | 32.23 | 3.4 | -18.78 |
| 2 | 18.85 | 9.6 | -90.55 |
| 3 | 31.41 | 32.6 | -119.89 |
| 4 | 26.29 | 8.8 | -31.12 |
| 5 | 13.16 | 14.9 | -136.90 |
| 6 | 19.53 | 5.3 | -58.52 |